Below is a relaxed structure of V5Co3Pt3, with properties calculated at the PBE-GGA level.

Unit cell a=8.3361 b=8.3361 c=2.6059 alpha=90.00 beta=90.00 gamma=120.00
Space group P-62m (No. 189)
Symmetry-distinct sites (fractional):
V  0.0000  0.3117  0.0000 (multiplicity 3)
V  0.3333  0.6667  0.0000 (multiplicity 2)
Co  0.0000  0.8400  0.0000 (multiplicity 3)
Pt  0.0000  0.5818  0.5000 (multiplicity 3)

Calculated values
Uncorrected energy = -82.98 eV/cell